The following is a DFT calculation (PBE) of La2CeIn2 after structural relaxation.

Cell lengths 4.780, 6.217, 11.791 Å; angles 100.94, 78.30, 67.39 degrees
Site moments in Bohr magnetons follow the coordinates.
Fractional positions:
In  0.030  0.852  0.089  -0.01
In  0.970  0.148  0.911  -0.01
In  0.689  0.275  0.347  -0.01
In  0.311  0.725  0.653  -0.01
La  0.097  0.245  0.562  0.03
La  0.289  0.297  0.125  -0.01
La  0.903  0.755  0.438  0.03
La  0.711  0.703  0.875  -0.01
Ce  0.468  0.803  0.261  0.59
Ce  0.532  0.197  0.739  0.59

## Properties
**N(E_F)**: 1.578 states/eV per atom
**Formation enthalpy at 0 K**: -0.33 eV/atom